Ce12Sb6Os | GGA-PBE | optimized geometry

Structure (extended XYZ):
```
19
Lattice="-5.480 5.292 3.058 -4.645 -2.748 -6.186 -1.572 -6.149 5.207" Properties=species:S:1:pos:R:3 pbc="T T T"
Ce -8.043 -0.258 1.415
Ce -7.447 -3.318 -0.538
Ce -6.810 -3.295 3.086
Ce -3.655 -3.347 0.664
Ce -4.251 -0.286 2.617
Ce -4.888 -0.310 -1.007
Ce -6.389 2.962 4.196
Ce -8.092 2.926 -1.318
Ce -5.123 -2.068 6.728
Ce -5.309 -6.567 -2.117
Ce -3.606 -6.531 3.397
Ce -6.575 -1.537 -4.649
Sb -7.924 -0.384 -1.827
Sb -5.899 2.009 1.019
Sb -4.869 -3.270 -2.340
Sb -3.774 -3.221 3.906
Sb -5.799 -5.614 1.060
Sb -6.828 -0.335 4.419
Os 0.000 0.000 0.000
```

The raw total energy comes out at -117.09 eV per cell. For the magnetization, the calculation gives 12.35 μB/f.u.


La2PuTaN4 | GGA-PBE | optimized geometry

Structure (extended XYZ):
```
16
Lattice="-3.835 -5.784 0.302 0.596 -0.772 -6.878 5.762 0.751 4.080" Properties=species:S:1:pos:R:3 pbc="T T T"
La -1.917 -2.892 0.151
La 0.964 -2.517 2.191
La 2.881 0.375 2.040
La -1.619 -3.278 -3.288
Pu 0.298 -0.386 -3.439
Pu -0.656 -5.795 -1.097
Ta 1.262 -2.903 -1.248
Ta 1.928 -5.033 4.382
N 5.328 -1.025 -1.159
N 0.326 -4.123 0.298
N 2.197 -1.683 -2.794
N -2.805 -4.781 -1.337
N 3.062 -4.233 -0.973
N 0.662 -4.545 -2.672
N 1.861 -1.261 0.176
N -0.538 -1.573 -1.523
```

The raw total energy comes out at -158.88 eV per cell. For the magnetization, the calculation gives 4.63 μB/f.u.


Sr4Ge2F | GGA-PBE | optimized geometry

Structure (extended XYZ):
```
14
Lattice="7.436 0.000 0.123 0.000 7.425 0.000 -2.595 0.000 8.171" Properties=species:S:1:pos:R:3 pbc="T T T"
Sr 2.992 3.771 2.107
Sr -1.827 5.569 7.407
Sr 6.668 1.856 0.888
Sr 2.992 7.366 2.107
Sr 5.438 1.856 5.228
Sr 1.849 0.059 6.187
Sr 1.849 3.654 6.187
Sr -0.597 5.569 3.066
Ge 5.227 5.569 0.495
Ge -0.386 1.856 7.799
Ge 0.770 1.856 3.585
Ge 4.071 5.569 4.709
F 1.411 5.569 1.623
F 3.430 1.856 6.672
```

The value obtained for the energy above the most stable polymorph in this dataset is 0.000 eV per atom. The raw total energy comes out at -52.17 eV per cell. For the magnetization, the calculation gives 0.00 μB/f.u.


GaPtPb | GGA-PBE | optimized geometry

Structure (extended XYZ):
```
3
Lattice="-3.000 -2.774 1.940 2.728 -3.159 -0.298 -0.032 2.422 3.412" Properties=species:S:1:pos:R:3 pbc="T T T"
Pb -1.030 -1.212 3.416
Ga -0.334 -0.308 0.216
Pt 1.060 -1.991 1.422
```

The raw total energy comes out at -13.45 eV per cell. The value obtained for the energy relative to the elements is -0.22 eV per atom. For the magnetization, the calculation gives 0.00 μB/f.u.